The following is a DFT calculation (PBE) of Ti8GaC2 after structural relaxation.

Lattice parameters (Å, degrees): 6.9449 10.6515 4.2996 90.00 100.81 90.00
Space group C2/m (No. 12)
Asymmetric unit:
Ti (0.0000, 0.2445, 0.0000)
Ti (0.0890, 0.0000, 0.8011)
Ti (0.2042, 0.3694, 0.5595)
Ga (0.0000, 0.5000, 0.0000)
C (0.0000, 0.1955, 0.5000)

Values from the calculation:
Its magnetization is 0.0 μB/f.u. The value obtained for the total energy is -175.90 eV for the cell shown.


The following is a DFT calculation (PBE) of LuThTc after structural relaxation.

Lattice parameters (Å, degrees): 3.4537 3.4537 12.6688 90.00 90.00 90.00
Space group I4mm (No. 107)
Asymmetric unit:
Lu (0.0000, 0.0000, 0.0000)
Th (0.0000, 0.0000, 0.2653)
Tc (0.0000, 0.0000, 0.6340)

Values from the calculation:
Its magnetization is 0.0 μB/f.u. The value obtained for the total energy is -45.35 eV for the cell shown.


The following is a DFT calculation (PBE) of Ti6GaH6 after structural relaxation.

Lattice parameters (Å, degrees): 4.6748 4.6748 7.5352 90.00 90.00 120.00
Space group P6/mmm (No. 191)
Asymmetric unit:
Ti (0.0000, 0.0000, 0.1686)
Ti (0.3333, 0.6667, 0.0000)
Ti (0.3333, 0.6667, 0.5000)
Ga (0.0000, 0.0000, 0.5000)
H (0.0000, 0.5000, 0.1871)

Values from the calculation:
Its magnetization is 4.8 μB/f.u. The value obtained for the total energy is -71.72 eV for the cell shown.


The following is a DFT calculation (PBE) of TaMoW2 after structural relaxation.

Lattice parameters (Å, degrees): 9.9752 3.1798 9.5128 90.00 111.54 90.00
Space group C2/m (No. 12)
Asymmetric unit:
Ta (0.1376, 0.0000, 0.1970)
Mo (0.0097, 0.5000, 0.6655)
W (0.1714, 0.0000, 0.5563)
W (0.1740, 0.0000, 0.8903)

Values from the calculation:
Its magnetization is 0.0 μB/f.u. The value obtained for the total energy is -189.65 eV for the cell shown.


The following is a DFT calculation (PBE) of Al3TcNi after structural relaxation.

Lattice parameters (Å, degrees): 4.6484 4.6484 4.6484 90.00 90.00 90.00
Space group Pm-3m (No. 221)
Asymmetric unit:
Al (0.0000, 0.0000, 0.5000)
Tc (0.0000, 0.0000, 0.0000)
Ni (0.5000, 0.5000, 0.5000)

Values from the calculation:
Its magnetization is 0.2 μB/f.u. The value obtained for the total energy is -24.38 eV for the cell shown.


The following is a DFT calculation (PBE) of Sc2SbOs after structural relaxation.

Lattice parameters (Å, degrees): 3.3774 4.4745 5.5630 90.00 107.26 90.00
Space group Pm (No. 6)
Asymmetric unit:
Sc (0.0000, 0.0000, 0.0000)
Sc (0.3079, 0.5000, 0.6292)
Sb (0.7189, 0.0000, 0.4465)
Os (0.5641, 0.5000, 0.1251)

Values from the calculation:
Its magnetization is 0.0 μB/f.u. Its energy relative to the elements, uncorrected is -0.477 eV/atom.


The following is a DFT calculation (PBE) of PuPa2Ru after structural relaxation.

Lattice parameters (Å, degrees): 6.9660 6.9660 6.9660 90.00 90.00 90.00
Space group Fm-3m (No. 225)
Asymmetric unit:
Pu (0.0000, 0.0000, 0.0000)
Pa (0.2500, 0.2500, 0.2500)
Ru (0.0000, 0.0000, 0.5000)

Values from the calculation:
Its magnetization is 6.3 μB/f.u. The value obtained for the total energy is -172.44 eV for the cell shown.


The following is a DFT calculation (PBE) of Pm2Pr7Sm after structural relaxation.

Lattice parameters (Å, degrees): 12.2413 17.1633 3.5657 90.00 90.00 90.00
Space group Cmmm (No. 65)
Asymmetric unit:
Pm (0.0000, 0.1686, 0.0000)
Pr (0.0000, 0.3228, 0.5000)
Pr (0.0000, 0.5000, 0.0000)
Pr (0.2445, 0.3719, 0.0000)
Sm (0.0000, 0.0000, 0.5000)

Values from the calculation:
Its magnetization is 0.0 μB/f.u. The value obtained for the total energy is -88.27 eV for the cell shown.


The following is a DFT calculation (PBE) of AcThTl2Se4 after structural relaxation.

Lattice parameters (Å, degrees): 7.6598 4.3882 8.2269 90.00 107.11 90.00
Space group P2/m (No. 10)
Asymmetric unit:
Ac (0.0000, 0.0000, 0.0000)
Th (0.5000, 0.5000, 0.0000)
Tl (0.0000, 0.5000, 0.5000)
Tl (0.5000, 0.0000, 0.5000)
Se (0.2558, 0.5000, 0.2195)
Se (0.2841, 0.0000, 0.7911)

Values from the calculation:
Its magnetization is 0.0 μB/f.u. Its energy relative to the elements, uncorrected is -1.274 eV/atom.


The following is a DFT calculation (PBE) of Re2OsBr after structural relaxation.

Lattice parameters (Å, degrees): 3.8326 3.8326 4.3147 90.00 90.00 90.00
Space group P4/mmm (No. 123)
Asymmetric unit:
Re (0.0000, 0.5000, 0.0000)
Os (0.0000, 0.0000, 0.5000)
Br (0.5000, 0.5000, 0.5000)

Values from the calculation:
Its magnetization is 0.0 μB/f.u. Its energy relative to the elements, uncorrected is 1.676 eV/atom.


The following is a DFT calculation (PBE) of CsCdIn2Bi2 after structural relaxation.

Lattice parameters (Å, degrees): 5.3950 5.3950 8.7887 90.00 90.00 120.00
Space group P-3m1 (No. 164)
Asymmetric unit:
Cs (0.0000, 0.0000, 0.0000)
Cd (0.0000, 0.0000, 0.5000)
In (0.3333, 0.6667, 0.3569)
Bi (0.3333, 0.6667, 0.7094)

Values from the calculation:
Its magnetization is 0.0 μB/f.u. The value obtained for the total energy is -15.90 eV for the cell shown.


The following is a DFT calculation (PBE) of ZnCrAsSe2 after structural relaxation.

Lattice parameters (Å, degrees): 4.7492 4.7492 4.7148 90.00 90.00 90.00
Space group P4/mmm (No. 123)
Asymmetric unit:
Zn (0.0000, 0.0000, 0.0000)
Cr (0.5000, 0.5000, 0.5000)
As (0.5000, 0.5000, 0.0000)
Se (0.0000, 0.5000, 0.5000)

Values from the calculation:
Its magnetization is 0.0 μB/f.u. Its energy relative to the elements, uncorrected is 0.344 eV/atom.


The following is a DFT calculation (PBE) of Tm4Zr3Co2 after structural relaxation.

Lattice parameters (Å, degrees): 16.4474 3.4524 8.2466 90.00 114.84 90.00
Space group C2/m (No. 12)
Asymmetric unit:
Tm (0.1136, 0.0000, 0.3804)
Tm (0.2314, 0.5000, 0.1622)
Zr (0.0000, 0.5000, 0.0000)
Zr (0.0728, 0.5000, 0.6929)
Co (0.1065, 0.0000, 0.9393)

Values from the calculation:
Its magnetization is 0.0 μB/f.u. The value obtained for the total energy is -118.00 eV for the cell shown.


The following is a DFT calculation (PBE) of PaAlPb after structural relaxation.

Lattice parameters (Å, degrees): 3.3049 3.3049 13.3908 90.00 90.00 90.00
Space group I4mm (No. 107)
Asymmetric unit:
Pa (0.0000, 0.0000, 0.0000)
Al (0.0000, 0.0000, 0.3524)
Pb (0.0000, 0.0000, 0.6900)

Values from the calculation:
Its magnetization is 0.7 μB/f.u. The value obtained for the total energy is -33.04 eV for the cell shown.


The following is a DFT calculation (PBE) of La2AlGa6Pd after structural relaxation.

Lattice parameters (Å, degrees): 6.4513 6.4513 35.5485 90.00 90.00 120.00
Space group R-3m (No. 166, hexagonal axes)
Asymmetric unit:
La (0.0000, 0.0000, 0.1090)
La (0.0000, 0.0000, 0.2837)
Al (0.0000, 0.0000, 0.4273)
Ga (0.0544, 0.5272, 0.2986)
Ga (0.0715, 0.5357, 0.8657)
Pd (0.0000, 0.0000, 0.0000)
Pd (0.0000, 0.0000, 0.5000)

Values from the calculation:
Its magnetization is 0.0 μB/f.u. The value obtained for the total energy is -250.46 eV for the cell shown.


The following is a DFT calculation (PBE) of LaHgMo3 after structural relaxation.

Lattice parameters (Å, degrees): 5.0445 5.0445 5.0445 90.00 90.00 90.00
Space group Pm-3m (No. 221)
Asymmetric unit:
La (0.0000, 0.0000, 0.0000)
Hg (0.5000, 0.5000, 0.5000)
Mo (0.0000, 0.5000, 0.5000)

Values from the calculation:
Its magnetization is 0.0 μB/f.u. The value obtained for the total energy is -27.75 eV for the cell shown.


The following is a DFT calculation (PBE) of Zr2ScAl after structural relaxation.

Lattice parameters (Å, degrees): 10.7516 3.1439 5.2335 90.00 102.51 90.00
Space group C2/m (No. 12)
Asymmetric unit:
Zr (0.2315, 0.0000, 0.2358)
Sc (0.0000, 0.0000, 0.5000)
Al (0.0000, 0.5000, 0.0000)

Values from the calculation:
Its magnetization is 0.0 μB/f.u. The value obtained for the total energy is -55.75 eV for the cell shown.


The following is a DFT calculation (PBE) of Cs2CoSbS4 after structural relaxation.

Lattice parameters (Å, degrees): 6.8254 12.4407 25.8544 90.00 90.00 90.00
Space group Fddd (No. 70, origin choice 2)
Asymmetric unit:
Cs (0.1250, 0.1250, 0.3059)
Co (0.1250, 0.1250, 0.6250)
Sb (0.1250, 0.1250, 0.1250)
S (0.0923, 0.3239, 0.8186)

Values from the calculation:
Its magnetization is 0.1 μB/f.u. Its energy relative to the elements, uncorrected is -0.533 eV/atom.


The following is a DFT calculation (PBE) of Tl2AuCl after structural relaxation.

Lattice parameters (Å, degrees): 4.6854 3.9921 12.2069 90.00 90.00 90.00
Space group Amm2 (No. 38)
Asymmetric unit:
Tl (0.0000, 0.0000, 0.0000)
Tl (0.5000, 0.0000, 0.2490)
Au (0.0000, 0.0000, 0.7496)
Cl (0.5000, 0.0000, 0.4914)

Values from the calculation:
Its magnetization is 0.0 μB/f.u. Its energy relative to the elements, uncorrected is -0.424 eV/atom.


The following is a DFT calculation (PBE) of Sm3B2Pt9Rh after structural relaxation.

Lattice parameters (Å, degrees): 5.7320 5.7320 9.5149 90.00 90.00 120.00
Space group P-3m1 (No. 164)
Asymmetric unit:
Sm (0.0000, 0.0000, 0.0000)
Sm (0.3333, 0.6667, 0.5952)
B (0.3333, 0.6667, 0.1473)
Pt (0.0000, 0.5000, 0.0000)
Pt (0.1622, 0.3243, 0.2767)
Rh (0.0000, 0.0000, 0.5000)

Values from the calculation:
Its magnetization is 0.0 μB/f.u. The value obtained for the total energy is -100.27 eV for the cell shown.


The following is a DFT calculation (PBE) of Sr3Sn8Hg3 after structural relaxation.

Lattice parameters (Å, degrees): 5.2816 11.5166 13.8347 90.00 90.00 90.00
Space group Immm (No. 71)
Asymmetric unit:
Sr (0.0000, 0.0000, 0.0000)
Sr (0.0000, 0.0000, 0.2989)
Sn (0.0000, 0.2781, 0.1487)
Sn (0.0000, 0.3632, 0.3582)
Hg (0.0000, 0.1592, 0.5000)
Hg (0.0000, 0.5000, 0.0000)

Values from the calculation:
Its magnetization is 0.0 μB/f.u. The value obtained for the total energy is -84.30 eV for the cell shown.


The following is a DFT calculation (PBE) of IrCl3 after structural relaxation.

Lattice parameters (Å, degrees): 3.3905 10.8496 6.4549 90.00 90.00 90.00
Space group Imm2 (No. 44)
Asymmetric unit:
Ir (0.0000, 0.0000, 0.0000)
Cl (0.0000, 0.3633, 0.3675)
Cl (0.0000, 0.5000, 0.7654)

Values from the calculation:
Its magnetization is 0.0 μB/f.u. Its energy relative to the elements, uncorrected is -0.016 eV/atom.


The following is a DFT calculation (PBE) of Th2Be3Cu12Ag after structural relaxation.

Lattice parameters (Å, degrees): 7.5096 7.5096 18.1687 90.00 90.00 120.00
Space group R-3m (No. 166, hexagonal axes)
Asymmetric unit:
Th (0.0000, 0.0000, 0.1013)
Be (0.0000, 0.5000, 0.0000)
Cu (0.0335, 0.5168, 0.8820)
Cu (0.0410, 0.5205, 0.3538)
Ag (0.0000, 0.0000, 0.5000)

Values from the calculation:
Its magnetization is 0.0 μB/f.u. The value obtained for the total energy is -214.98 eV for the cell shown.


The following is a DFT calculation (PBE) of Er2Pd5Pb2 after structural relaxation.

Lattice parameters (Å, degrees): 14.3516 5.4796 9.3172 90.00 90.00 90.00
Space group Ima2 (No. 46)
Asymmetric unit:
Er (0.1257, 0.0231, 0.0000)
Pd (0.0490, 0.2239, 0.7301)
Pd (0.1507, 0.7247, 0.7632)
Pd (0.2500, 0.2471, 0.7769)
Pb (0.0000, 0.0000, 0.4653)
Pb (0.2500, 0.5306, 0.0299)

Values from the calculation:
Its magnetization is 0.0 μB/f.u. The value obtained for the total energy is -187.89 eV for the cell shown.